Compound: Pm2CuRu
Source: Alexandria via LeMat-Bulk
Functional: PBE-GGA
Structure: optimized geometry

## Properties
Fermi-level density of states ... 0.773 states/eV per atom
Symmetry ... P4/mmm (123)
ΔE to the lowest computed polymorph ... 0.047 eV per atom
ΔE_f ... -0.20 eV/atom
Uncorrected energy ... -23.68 eV/cell

Geometry as POSCAR:
```
Pm2CuRu
1.0
-0.2053 -3.4186 0.7064
3.4568 -0.2977 -0.4360
1.0090 1.3955 7.0469
Pm Ru Cu
2 1 1
Direct
0.0000 0.0000 0.2615 Pm
0.0000 0.0000 0.7385 Pm
0.5000 0.5000 0.5000 Ru
0.5000 0.5000 0.0000 Cu
```